No. 1
Computed, not measured: a relaxed CsSn2Rh crystal at the PBE level of DFT.

Cell lengths 3.470, 3.470, 8.959 Å; angles 90.00, 90.00, 90.00 degrees
Fractional coordinates of all 4 atoms:
Cs1 0.000 0.000 0.000
Sn1 0.500 0.500 0.333
Sn2 0.500 0.500 0.667
Rh1 0.000 0.000 0.500

Output
The calculation puts the energy of formation at -0.23 eV per atom. As for the space group: No. 123.

=====

No. 2
Computed, not measured: a relaxed NaZrAgS3 crystal at the PBE level of DFT.

Cell lengths 7.403, 3.808, 9.939 Å; angles 90.00, 105.11, 90.00 degrees
Fractional coordinates of all 12 atoms:
Na1 0.143 0.250 0.158
Na2 0.857 0.750 0.842
Zr1 0.358 0.250 0.820
Zr2 0.642 0.750 0.180
Ag1 0.146 0.750 0.562
Ag2 0.854 0.250 0.438
S1 0.015 0.250 0.702
S2 0.297 0.750 0.993
S3 0.480 0.750 0.695
S4 0.520 0.250 0.305
S5 0.703 0.250 0.007
S6 0.985 0.750 0.298

Output
As for the space group: No. 11. The formation energy without anion corrections comes out at -1099 meV per atom.

=====

No. 3
Computed, not measured: a relaxed Sc2NiAg crystal at the PBE level of DFT.

Cell lengths 5.935, 5.935, 5.935 Å; angles 103.49, 103.49, 122.24 degrees
Fractional coordinates of all 8 atoms:
Sc1 0.084 0.625 0.959
Sc2 0.375 0.334 0.459
Sc3 0.666 0.125 0.041
Sc4 0.875 0.916 0.541
Ni1 0.000 0.000 0.000
Ni2 0.750 0.250 0.500
Ag1 0.250 0.750 0.500
Ag2 0.500 0.500 0.000

Output
The calculation puts the energy of formation at 0.02 eV per atom. As for the space group: No. 122.

=====

No. 4
Computed, not measured: a relaxed Tl8Cd crystal at the PBE level of DFT.

Cell lengths 8.028, 8.028, 8.028 Å; angles 94.60, 94.60, 147.09 degrees
Fractional coordinates of all 9 atoms:
Tl1 0.000 0.330 0.330
Tl2 0.000 0.670 0.670
Tl3 0.330 0.000 0.330
Tl4 0.337 0.337 0.673
Tl5 0.337 0.663 0.000
Tl6 0.663 0.337 0.000
Tl7 0.663 0.663 0.327
Tl8 0.670 0.000 0.670
Cd1 0.000 0.000 0.000

Output
The calculation puts the energy of formation at 0.04 eV per atom. As for the space group: No. 139.

=====

No. 5
Computed, not measured: a relaxed BaCr4Rh crystal at the PBE level of DFT.

Cell lengths 5.085, 5.085, 5.085 Å; angles 60.00, 60.00, 60.00 degrees
Fractional coordinates of all 6 atoms:
Ba1 0.000 0.000 0.000
Cr1 0.132 0.623 0.623
Cr2 0.623 0.132 0.623
Cr3 0.623 0.623 0.132
Cr4 0.623 0.623 0.623
Rh1 0.250 0.250 0.250

Output
The calculation puts the energy of formation at 0.94 eV per atom. As for the space group: No. 216.

=====

No. 6
Computed, not measured: a relaxed GdDyAgRh crystal at the PBE level of DFT.

Cell lengths 5.013, 5.013, 5.013 Å; angles 60.00, 60.00, 60.00 degrees
Fractional coordinates of all 4 atoms:
Gd1 0.000 0.000 0.000
Dy1 0.500 0.500 0.500
Ag1 0.750 0.750 0.750
Rh1 0.250 0.250 0.250

Output
The calculation puts the energy of formation at -0.55 eV per atom. As for the space group: No. 216.

=====

No. 7
Computed, not measured: a relaxed BaZn3As crystal at the PBE level of DFT.

Cell lengths 6.145, 6.145, 6.145 Å; angles 90.00, 90.00, 90.00 degrees
Fractional coordinates of all 5 atoms:
Ba1 0.000 0.000 0.000
Zn1 0.000 0.000 0.500
Zn2 0.000 0.500 0.000
Zn3 0.500 0.000 0.000
As1 0.500 0.500 0.500

Output
As for the distance to the lowest polymorph of the same formula: 1041 meV per atom. The calculation puts the energy of formation at 1.09 eV per atom. As for the space group: No. 221.

=====

No. 8
Computed, not measured: a relaxed Pr2TmP3 crystal at the PBE level of DFT.

Cell lengths 9.212, 9.212, 9.212 Å; angles 154.09, 154.09, 36.97 degrees
Fractional coordinates of all 6 atoms:
Pr1 0.166 0.166 0.000
Pr2 0.834 0.834 0.000
Tm1 0.500 0.500 0.000
P1 0.000 0.000 0.000
P2 0.338 0.338 0.000
P3 0.662 0.662 0.000

Output
The calculation puts the energy of formation at -1.51 eV per atom. As for the space group: No. 139.

=====

no.,energy (eV per atom)
1,-4.279
2,-5.282
3,-5.301
4,-2.169
5,-7.017
6,-7.768
7,-0.987
8,-6.554